Hf2TeAs: optimized geometry, GGA-PBE.

Cell and atoms, written as extended XYZ:
```
4
Lattice="3.897 -0.484 -2.868 3.207 -3.558 0.836 0.311 -3.763 -3.064" Properties=species:S:1:pos:R:3 pbc="T T T"
Hf 1.854 -1.951 -1.274
Hf 5.561 -5.853 -3.821
As 0.000 0.000 0.000
Te 3.708 -3.902 -2.548
```

Summary:
Fermi-level density of states ... 2.722 states/eV per cell
E_form (uncorrected) ... -0.5699 eV/atom
ΔE to the lowest computed polymorph ... 169 meV per atom
E ... -29.98 eV/f.u.

Tb2PrSm6Mg: optimized geometry, GGA-PBE.

Cell and atoms, written as extended XYZ:
```
20
Lattice="8.544 -1.635 -1.697 1.168 8.881 -2.253 1.168 -2.581 8.791" Properties=species:S:1:pos:R:3 pbc="T T T"
Sm 5.104 -1.185 6.488
Sm 2.150 5.175 2.317
Sm 4.458 3.358 0.432
Sm 1.504 -1.045 6.633
Sm 3.438 1.949 6.869
Sm 5.776 5.850 -1.647
Sm 7.442 2.715 -2.028
Sm 6.422 1.306 4.408
Sm 9.376 5.710 -1.793
Sm 3.170 -1.309 3.487
Sm 7.710 5.974 1.354
Sm 8.730 -0.510 2.523
Tb 9.770 2.438 3.730
Tb 1.110 2.226 1.111
Tb 5.498 4.455 3.423
Tb 5.382 0.210 1.417
Pr 7.576 -3.407 7.132
Pr 3.304 8.071 -2.292
Mg 3.304 2.093 3.469
Mg 7.576 2.571 1.372
```

Summary:
Fermi-level density of states ... 27.271 states/eV per cell
Energy relative to the elements ... 0.12 eV per atom
E ... -42.80 eV/f.u.